Record 1
A relaxed structure of Cs4Ac3ErTe8. Source: the Alexandria database, functional GGA-PBE.

Properties
DFT total energy	-4.299	eV/atom

Cell lengths 10.5624, 10.5624, 10.5624 Å; angles 54.24, 54.24, 54.24 degrees
Positions (direct):
Cs 0.0000 0.0000 0.0000
Cs 0.0000 0.5000 0.5000
Cs 0.5000 0.0000 0.5000
Cs 0.5000 0.5000 0.0000
Ac 0.0000 0.0000 0.5000
Ac 0.0000 0.5000 0.0000
Ac 0.5000 0.0000 0.0000
Er 0.5000 0.5000 0.5000
Te 0.2350 0.2350 0.2350
Te 0.2503 0.7226 0.7226
Te 0.2774 0.2774 0.7497
Te 0.2774 0.7497 0.2774
Te 0.7226 0.2503 0.7226
Te 0.7226 0.7226 0.2503
Te 0.7497 0.2774 0.2774
Te 0.7650 0.7650 0.7650

Record 2
A relaxed structure of Cs3Ac2ErTe6. Source: the Alexandria database, functional GGA-PBE.

Properties
DFT total energy	-4.299	eV/atom

Cell lengths 8.2850, 8.2850, 9.3844 Å; angles 98.48, 98.48, 120.01 degrees
Positions (direct):
Cs 0.0000 0.0000 0.0000
Cs 0.3294 0.6706 0.0000
Cs 0.6706 0.3294 0.0000
Ac 0.1663 0.8337 0.5000
Ac 0.8337 0.1663 0.5000
Er 0.5000 0.5000 0.5000
Te 0.1210 0.4346 0.3038
Te 0.2528 0.2528 0.6976
Te 0.4346 0.1210 0.3038
Te 0.5654 0.8790 0.6962
Te 0.7472 0.7472 0.3024
Te 0.8790 0.5654 0.6962

Record 3
A relaxed structure of CsAcEu2. Source: the Alexandria database, functional GGA-PBE.

Properties
DFT total energy	-6.214	eV/atom

Cell lengths 4.0761, 4.0761, 12.8291 Å; angles 90.00, 90.00, 90.00 degrees
Positions (direct):
Cs 0.0000 0.0000 0.0000
Ac 0.0000 0.0000 0.5000
Eu 0.5000 0.5000 0.2902
Eu 0.5000 0.5000 0.7098

Record 4
A relaxed structure of Cs5Ac2F12. Source: the Alexandria database, functional GGA-PBE.

Properties
DFT total energy	-5.021	eV/atom

Cell lengths 8.8055, 8.8055, 7.2696 Å; angles 95.88, 95.88, 60.34 degrees
Positions (direct):
Cs 0.0000 0.0000 0.0000
Cs 0.2342 0.2342 0.4759
Cs 0.3641 0.3641 0.9862
Cs 0.6359 0.6359 0.0138
Cs 0.7658 0.7658 0.5241
Ac 0.2575 0.7425 0.5000
Ac 0.7425 0.2575 0.5000
F 0.0620 0.0620 0.6315
F 0.1088 0.6899 0.7331
F 0.1554 0.5626 0.3061
F 0.3101 0.8912 0.2669
F 0.4374 0.8446 0.6939
F 0.4790 0.4790 0.6810
F 0.5210 0.5210 0.3190
F 0.5626 0.1554 0.3061
F 0.6899 0.1088 0.7331
F 0.8446 0.4374 0.6939
F 0.8912 0.3101 0.2669
F 0.9380 0.9380 0.3685

Record 5
A relaxed structure of Cs2AcF4. Source: the Alexandria database, functional GGA-PBE.

Properties
DFT total energy	-4.938	eV/atom

Cell lengths 9.9954, 9.9954, 9.9954 Å; angles 151.43, 151.43, 40.85 degrees
Positions (direct):
Cs 0.1571 0.1571 0.0000
Cs 0.8429 0.8429 0.0000
Ac 0.5000 0.5000 0.0000
F 0.0000 0.5000 0.5000
F 0.3742 0.3742 0.0000
F 0.5000 0.0000 0.5000
F 0.6258 0.6258 0.0000

Record 6
A relaxed structure of CsAcF2. Source: the Alexandria database, functional GGA-PBE.

Properties
energy above the lowest structure with this stoichiometry	0	meV/atom
DFT total energy	-4.514	eV/atom

Cell lengths 8.0655, 8.0655, 8.0655 Å; angles 27.51, 27.51, 27.51 degrees
Positions (direct):
Cs 0.0000 0.0000 0.0000
Ac 0.5000 0.5000 0.5000
F 0.2487 0.2487 0.2487
F 0.7513 0.7513 0.7513

What did the third record say?
A relaxed structure of CsAcEu2. Source: the Alexandria database, functional GGA-PBE.

Properties
DFT total energy	-6.214	eV/atom

Cell lengths 4.0761, 4.0761, 12.8291 Å; angles 90.00, 90.00, 90.00 degrees
Positions (direct):
Cs 0.0000 0.0000 0.0000
Ac 0.0000 0.0000 0.5000
Eu 0.5000 0.5000 0.2902
Eu 0.5000 0.5000 0.7098

What did the third record say?
A relaxed structure of CsAcEu2. Source: the Alexandria database, functional GGA-PBE.

Properties
DFT total energy	-6.214	eV/atom

Cell lengths 4.0761, 4.0761, 12.8291 Å; angles 90.00, 90.00, 90.00 degrees
Positions (direct):
Cs 0.0000 0.0000 0.0000
Ac 0.0000 0.0000 0.5000
Eu 0.5000 0.5000 0.2902
Eu 0.5000 0.5000 0.7098

Look up the DFT total energy of the third one.
-6.214 eV/atom